# 1
This record from Alexandria describes a relaxed structure of SrLiAlF6. The functional is PBE-GGA.

Unit cell a=5.1682 b=5.1556 c=5.1556 alpha=120.00 beta=90.00 gamma=90.00
Last column: nearest neighbours and their distance in Å.
Fractional coordinates of all 9 atoms:
F1 0.2969 0.9780 0.6978  1 Al 1.83, 1 Li 2.05
F2 0.7031 0.3022 0.0220  1 Al 1.83, 1 Li 2.05
F3 0.2969 0.3022 0.2802  1 Al 1.83, 1 Li 2.05
F4 0.7031 0.7198 0.6978  1 Al 1.83, 1 Li 2.05
F5 0.7031 0.9780 0.2802  1 Al 1.83, 1 Li 2.05
F6 0.2969 0.7198 0.0220  1 Al 1.83, 1 Li 2.05
Sr1 0.0000 0.3333 0.6667  6 F 2.46
Li1 0.5000 0.6667 0.3333  6 F 2.05
Al1 0.5000 0.0000 0.0000  6 F 1.83

Values from the calculation:
Its space group is No. 149. The calculation puts the density of states at the Fermi level at 0.00 states/eV/cell. For the formation energy without anion corrections, the calculation gives -347 kJ per mole of atoms.

# 2
This record from Alexandria describes a relaxed structure of CdCoRh2. The functional is PBE-GGA.

Unit cell a=3.7881 b=2.7627 c=6.3429 alpha=64.29 beta=90.00 gamma=90.00
Last column: nearest neighbours and their distance in Å.
Fractional coordinates of all 4 atoms:
Rh1 0.0000 0.0146 0.9850  4 Co 2.61, 6 Rh 2.72-2.76, 1 Cd 2.75
Rh2 0.5000 0.2723 0.2279  1 Co 2.54, 6 Rh 2.72-2.76, 4 Cd 2.82
Cd1 0.0000 0.4975 0.5031  6 Rh 2.75-2.96, 2 Cd 2.76, 4 Co 2.84
Co1 0.5000 0.7156 0.7840  5 Rh 2.54-2.61, 2 Co 2.76, 2 Cd 2.84

Values from the calculation:
The value obtained for the formation energy is 135 meV per atom. Its space group is No. 6. The calculation puts the density of states at the Fermi level at 5.85 states/eV/cell.